Record 1
Crystalline Mg2VCoS at its relaxed geometry, computed with PBE.

The structure in POSCAR format:
```
Mg2VCoS
1.0
4.8062 0.0000 0.0000
0.0000 4.0312 0.0000
0.0000 0.0000 4.8062
Co S Mg V
1 1 2 1
direct
0.0000 0.5000 0.0000 Co
0.0000 0.0000 0.0000 S
0.0000 0.0000 0.5000 Mg
0.5000 0.0000 0.0000 Mg
0.5000 0.5000 0.5000 V
```

Results
space group	No. 123
D(E_F)	1.453	states/eV/atom
final energy	-20.74	eV per cell
formation energy from raw total energies	560	meV per atom


Record 2
Crystalline Mg2CoSb at its relaxed geometry, computed with PBE.

The structure in POSCAR format:
```
Mg2CoSb
1.0
4.0541 0.0000 0.0000
0.0000 4.0541 0.0000
2.0271 2.0271 9.7410
Mg Co Sb
4 2 2
direct
0.3750 0.3956 0.7500 Mg
0.1456 0.6250 0.2500 Mg
0.8750 0.8544 0.7500 Mg
0.6044 0.1250 0.2500 Mg
0.2500 0.7500 0.5000 Co
0.5000 0.5000 0.0000 Co
0.7500 0.2500 0.5000 Sb
0.0000 0.0000 0.0000 Sb
```

Results
space group	No. 122
D(E_F)	0.858	states/eV/atom
final energy	-26.45	eV per cell
formation energy from raw total energies	298	meV per atom


Record 3
Crystalline MgCoSb2 at its relaxed geometry, computed with PBE.

The structure in POSCAR format:
```
MgCoSb2
1.0
5.0410 0.0184 -0.0210
3.9887 3.0826 -0.0210
2.0912 0.7182 5.8062
Mg Co Sb
1 1 2
direct
0.1814 0.1814 0.3894 Mg
0.4586 0.4586 0.3714 Co
0.8402 0.8402 0.7014 Sb
0.0198 0.0198 0.0378 Sb
```

Results
space group	No. 8
D(E_F)	0.579	states/eV/atom
final energy	-16.98	eV per cell
formation energy from raw total energies	-9	meV per atom


Record 4
Crystalline Mg2CoSb at its relaxed geometry, computed with PBE.

The structure in POSCAR format:
```
Mg2CoSb
1.0
-8.8765 -0.8097 0.9340
-7.8572 -2.8851 3.2033
-8.0744 0.2758 3.8792
Co Mg Sb
1 2 1
direct
0.7500 0.7500 0.7500 Co
0.4885 0.4885 0.4885 Mg
0.0115 0.0115 0.0115 Mg
0.2500 0.2500 0.2500 Sb
```

Results
space group	No. 166
D(E_F)	0.437	states/eV/atom
final energy	-13.66	eV per cell
formation energy from raw total energies	189	meV per atom


Record 5
Crystalline MgCoSb at its relaxed geometry, computed with PBE.

The structure in POSCAR format:
```
MgCoSb
1.0
-3.2295 -2.5530 -5.7971
0.9828 -4.6411 -0.9150
-3.3964 0.5244 1.6620
Co Sb Mg
2 2 2
direct
0.8780 0.0334 0.5406 Co
0.2313 0.5134 0.2805 Co
0.6371 0.3642 0.2059 Sb
0.1556 0.9675 0.0075 Sb
0.9172 0.5775 0.8131 Mg
0.4538 0.0885 0.5678 Mg
```

Results
space group	No. 8
D(E_F)	0.538	states/eV/atom
final energy	-26.48	eV per cell
formation energy from raw total energies	-140	meV per atom


Record 6
Crystalline MgCoSb2 at its relaxed geometry, computed with PBE.

The structure in POSCAR format:
```
MgCoSb2
1.0
-2.5753 1.4399 -2.7378
-2.2954 -5.0368 -0.4899
-4.2273 -2.0691 2.8881
Sb Co Mg
2 1 1
direct
0.0000 0.0984 0.1003 Sb
0.0000 0.4016 0.3997 Sb
0.5000 0.2500 0.2500 Co
0.5000 0.7500 0.7500 Mg
```

Results
space group	No. 10
D(E_F)	0.422	states/eV/atom
final energy	-16.94	eV per cell
formation energy from raw total energies	2	meV per atom


Record 7
Crystalline Mg2CoSb at its relaxed geometry, computed with PBE.

The structure in POSCAR format:
```
Mg2CoSb
1.0
5.0210 -0.0177 0.0000
1.5368 4.7801 0.0000
-3.2789 -2.3812 2.9647
Mg Co Sb
2 1 1
direct
0.0000 0.0000 0.0000 Mg
0.2500 0.7500 0.5000 Mg
0.7500 0.2500 0.5000 Co
0.5000 0.5000 0.0000 Sb
```

Results
space group	No. 119
D(E_F)	0.449	states/eV/atom
final energy	-14.25	eV per cell
formation energy from raw total energies	42	meV per atom


Record 8
Crystalline Mg2CoSb at its relaxed geometry, computed with PBE.

The structure in POSCAR format:
```
Mg2CoSb
1.0
-2.2233 5.8079 -2.1061
1.7481 -3.3310 -3.2789
-2.7950 0.1369 -1.6374
Mg Co Sb
2 1 1
direct
0.5000 0.0000 0.5000 Mg
0.0000 0.0000 0.0000 Mg
0.5000 0.5000 0.0000 Co
0.0000 0.5000 0.5000 Sb
```

Results
space group	No. 12
D(E_F)	0.861	states/eV/atom
final energy	-13.87	eV per cell
formation energy from raw total energies	137	meV per atom